1.
Material: Sr2IrSe
Method: DFT, GGA-PBE
State: optimized geometry

Unit cell a=5.245 b=5.245 c=3.721 alpha=90.00 beta=90.00 gamma=97.05
Element x y z (fractional)
Sr  0.000  0.500  0.000
Sr  0.500  0.000  0.000
Ir  0.000  0.000  0.500
Se  0.500  0.500  0.500

ρ = 7.30 g/cm³
E = -18.33 eV/f.u.
Uncorrected formation energy = -63.1 kJ per mole of atoms

2.
Material: Ba2LiSn3Pd4
Method: DFT, GGA-PBE
State: optimized geometry

Unit cell a=4.737 b=4.737 c=10.898 alpha=90.00 beta=90.00 gamma=90.00
Element x y z (fractional)
Ba  0.000  0.500  0.250
Ba  0.500  0.000  0.750
Li  0.000  0.000  0.500
Sn  0.000  0.500  0.881
Sn  0.500  0.000  0.119
Sn  0.500  0.500  0.500
Pd  0.000  0.000  0.000
Pd  0.000  0.500  0.628
Pd  0.500  0.000  0.372
Pd  0.500  0.500  0.000

ρ = 7.22 g/cm³
Formation energy = -681 meV/atom
E = -45.34 eV/f.u.

3.
Material: SrZn2Cd8Ag
Method: DFT, GGA-PBE
State: optimized geometry

Unit cell a=5.194 b=5.194 c=11.610 alpha=102.15 beta=102.15 gamma=68.22
Element x y z (fractional)
Sr  0.000  0.000  0.000
Zn  0.387  0.387  0.090
Zn  0.613  0.613  0.910
Cd  0.225  0.724  0.705
Cd  0.269  0.269  0.843
Cd  0.276  0.775  0.295
Cd  0.322  0.322  0.455
Cd  0.678  0.678  0.545
Cd  0.724  0.225  0.705
Cd  0.731  0.731  0.157
Cd  0.775  0.276  0.295
Ag  0.000  0.000  0.500

ρ = 7.24 g/cm³
Formation energy = -43 meV/atom
E = -14.92 eV/f.u.

4.
Material: NaLi2Ga2
Method: DFT, GGA-PBE
State: optimized geometry

Unit cell a=8.045 b=8.045 c=2.878 alpha=90.00 beta=90.00 gamma=90.00
Element x y z (fractional)
Na  0.000  0.000  0.000
Na  0.500  0.500  0.000
Li  0.180  0.320  0.500
Li  0.320  0.820  0.500
Li  0.680  0.180  0.500
Li  0.820  0.680  0.500
Ga  0.115  0.615  0.000
Ga  0.385  0.115  0.000
Ga  0.615  0.885  0.000
Ga  0.885  0.385  0.000

ρ = 3.14 g/cm³
Formation energy = -197 meV/atom
E = -12.19 eV/f.u.
Excess energy over the best structure of this formula in the dataset = 0.00 eV per formula unit

5.
Material: Ac2UHO6
Method: DFT, GGA-PBE
State: optimized geometry

Unit cell a=4.384 b=6.044 c=6.724 alpha=111.40 beta=105.54 gamma=100.45
Element x y z (fractional)
Ac  0.000  0.000  0.000
Ac  0.325  0.342  0.675
U  0.750  0.611  0.332
H  0.445  0.934  0.426
O  0.212  0.927  0.348
O  0.248  0.456  0.332
O  0.568  0.238  0.031
O  0.576  0.707  0.059
O  0.820  0.980  0.602
O  0.877  0.545  0.639

ρ = 8.63 g/cm³
E = -82.79 eV/f.u.

6.
Material: Re5P3
Method: DFT, GGA-PBE
State: optimized geometry

Unit cell a=5.206 b=5.206 c=4.327 alpha=90.00 beta=90.00 gamma=109.38
Element x y z (fractional)
Re  0.000  0.000  0.000
Re  0.000  0.500  0.000
Re  0.253  0.253  0.500
Re  0.500  0.000  0.000
Re  0.747  0.747  0.500
P  0.236  0.764  0.500
P  0.500  0.500  0.000
P  0.764  0.236  0.500

ρ = 15.37 g/cm³
Formation energy = 205 meV/atom
E = -76.83 eV/f.u.
Excess energy over the best structure of this formula in the dataset = 0.77 eV per formula unit

7.
Material: RbTc2Ir
Method: DFT, GGA-PBE
State: optimized geometry

Unit cell a=6.203 b=6.203 c=6.203 alpha=104.45 beta=104.45 gamma=120.05
Element x y z (fractional)
Rb  0.000  0.000  0.000
Rb  0.750  0.250  0.500
Tc  0.203  0.625  0.078
Tc  0.375  0.453  0.578
Tc  0.547  0.125  0.922
Tc  0.875  0.797  0.422
Ir  0.250  0.750  0.500
Ir  0.500  0.500  0.000

ρ = 8.79 g/cm³
Formation energy = 1551 meV/atom
E = -24.36 eV/f.u.
Excess energy over the best structure of this formula in the dataset = 0.00 eV per formula unit

8.
Material: K2AlPd
Method: DFT, GGA-PBE
State: optimized geometry

Unit cell a=5.598 b=5.598 c=5.598 alpha=60.00 beta=60.00 gamma=60.00
Element x y z (fractional)
K  0.250  0.250  0.250
K  0.750  0.750  0.750
Al  0.000  0.000  0.000
Pd  0.500  0.500  0.500

ρ = 2.83 g/cm³
Formation energy = 454 meV/atom
E = -9.32 eV/f.u.
Excess energy over the best structure of this formula in the dataset = 1.75 eV per formula unit

9.
Material: Sc2Be2AlNi5
Method: DFT, GGA-PBE
State: optimized geometry

Unit cell a=8.747 b=8.747 c=3.233 alpha=90.00 beta=90.00 gamma=90.00
Element x y z (fractional)
Sc  0.179  0.321  0.000
Sc  0.321  0.821  0.000
Sc  0.679  0.179  0.000
Sc  0.821  0.679  0.000
Be  0.116  0.616  0.000
Be  0.384  0.116  0.000
Be  0.616  0.884  0.000
Be  0.884  0.384  0.000
Al  0.000  0.000  0.000
Al  0.500  0.500  0.000
Ni  0.000  0.500  0.500
Ni  0.066  0.784  0.500
Ni  0.216  0.066  0.500
Ni  0.284  0.566  0.500
Ni  0.434  0.284  0.500
Ni  0.500  0.000  0.500
Ni  0.566  0.716  0.500
Ni  0.716  0.434  0.500
Ni  0.784  0.934  0.500
Ni  0.934  0.216  0.500

ρ = 5.75 g/cm³
Formation energy = -523 meV/atom
E = -57.99 eV/f.u.

10.
Material: DyEr2Os
Method: DFT, GGA-PBE
State: optimized geometry

Unit cell a=7.382 b=8.967 c=6.281 alpha=90.00 beta=90.00 gamma=90.00
Element x y z (fractional)
Dy  0.039  0.250  0.127
Dy  0.461  0.750  0.627
Dy  0.539  0.250  0.373
Dy  0.961  0.750  0.873
Er  0.174  0.063  0.666
Er  0.174  0.437  0.666
Er  0.326  0.563  0.166
Er  0.326  0.937  0.166
Er  0.674  0.063  0.834
Er  0.674  0.437  0.834
Er  0.826  0.563  0.334
Er  0.826  0.937  0.334
Os  0.117  0.750  0.459
Os  0.383  0.250  0.959
Os  0.617  0.750  0.041
Os  0.883  0.250  0.541

ρ = 10.98 g/cm³
Formation energy = -283 meV/atom
E = -26.09 eV/f.u.
Excess energy over the best structure of this formula in the dataset = 0.00 eV per formula unit

11.
Material: AcAgF5
Method: DFT, GGA-PBE
State: optimized geometry

Unit cell a=6.231 b=6.231 c=8.102 alpha=108.06 beta=108.06 gamma=77.37
Element x y z (fractional)
Ac  0.057  0.943  0.750
Ac  0.943  0.057  0.250
Ag  0.500  0.500  0.000
Ag  0.500  0.500  0.500
F  0.156  0.816  0.033
F  0.184  0.844  0.467
F  0.227  0.310  0.377
F  0.310  0.227  0.877
F  0.398  0.602  0.750
F  0.602  0.398  0.250
F  0.690  0.773  0.123
F  0.773  0.690  0.623
F  0.816  0.156  0.533
F  0.844  0.184  0.967

ρ = 5.07 g/cm³
E = -36.10 eV/f.u.
Uncorrected formation energy = -272.7 kJ per mole of atoms

12.
Material: KTa2Ni
Method: DFT, GGA-PBE
State: optimized geometry

Unit cell a=4.781 b=4.781 c=4.781 alpha=60.00 beta=60.00 gamma=60.00
Element x y z (fractional)
K  0.000  0.000  0.000
Ta  0.500  0.500  0.500
Ta  0.750  0.750  0.750
Ni  0.250  0.250  0.250

ρ = 9.88 g/cm³
Formation energy = 1420 meV/atom
E = -24.90 eV/f.u.
Excess energy over the best structure of this formula in the dataset = 3.69 eV per formula unit

13.
Material: Pr5IrAu2
Method: DFT, GGA-PBE
State: optimized geometry

Unit cell a=9.037 b=12.328 c=4.250 alpha=90.00 beta=90.00 gamma=90.00
Element x y z (fractional)
Pr  0.000  0.000  0.000
Pr  0.146  0.297  0.000
Pr  0.180  0.581  0.500
Pr  0.320  0.081  0.500
Pr  0.354  0.797  0.000
Pr  0.500  0.500  0.000
Pr  0.646  0.203  0.000
Pr  0.680  0.919  0.500
Pr  0.820  0.419  0.500
Pr  0.854  0.703  0.000
Ir  0.000  0.500  0.000
Ir  0.500  0.000  0.000
Au  0.067  0.823  0.500
Au  0.433  0.323  0.500
Au  0.567  0.677  0.500
Au  0.933  0.177  0.500

ρ = 9.05 g/cm³
Formation energy = -599 meV/atom
E = -44.11 eV/f.u.

14.
Material: Sr2CoP
Method: DFT, GGA-PBE
State: optimized geometry

Unit cell a=8.435 b=8.435 c=8.435 alpha=27.56 beta=27.56 gamma=27.56
Element x y z (fractional)
Sr  0.000  0.000  0.000
Sr  0.170  0.170  0.170
Co  0.418  0.418  0.418
P  0.752  0.752  0.752

ρ = 3.88 g/cm³
Formation energy = -538 meV/atom
E = -18.03 eV/f.u.

15.
Material: TiSiO2F
Method: DFT, GGA-PBE
State: optimized geometry

Unit cell a=3.486 b=3.486 c=4.481 alpha=90.00 beta=90.00 gamma=90.00
Element x y z (fractional)
Ti  0.000  0.000  0.000
Si  0.500  0.500  0.500
O  0.000  0.500  0.500
O  0.500  0.000  0.500
F  0.500  0.500  0.000

ρ = 3.87 g/cm³
E = -32.43 eV/f.u.
Uncorrected formation energy = -141.3 kJ per mole of atoms

16.
Material: Rb12Ag5As3
Method: DFT, GGA-PBE
State: optimized geometry

Unit cell a=17.859 b=17.859 c=17.859 alpha=109.47 beta=109.47 gamma=109.47
Element x y z (fractional)
Rb  0.061  0.231  0.140
Rb  0.061  0.329  0.921
Rb  0.079  0.640  0.408
Rb  0.079  0.939  0.671
Rb  0.092  0.731  0.671
Rb  0.092  0.860  0.421
Rb  0.140  0.061  0.231
Rb  0.140  0.579  0.908
Rb  0.171  0.231  0.592
Rb  0.171  0.439  0.579
Rb  0.231  0.140  0.061
Rb  0.231  0.592  0.171
Rb  0.269  0.329  0.908
Rb  0.269  0.439  0.360
Rb  0.329  0.908  0.269
Rb  0.329  0.921  0.061
Rb  0.360  0.269  0.439
Rb  0.360  0.592  0.921
Rb  0.408  0.079  0.640
Rb  0.408  0.829  0.769
Rb  0.421  0.092  0.860
Rb  0.421  0.829  0.561
Rb  0.439  0.360  0.269
Rb  0.439  0.579  0.171
Rb  0.561  0.421  0.829
Rb  0.561  0.640  0.731
Rb  0.579  0.171  0.439
Rb  0.579  0.908  0.140
Rb  0.592  0.171  0.231
Rb  0.592  0.921  0.360
Rb  0.640  0.408  0.079
Rb  0.640  0.731  0.561
Rb  0.671  0.079  0.939
Rb  0.671  0.092  0.731
Rb  0.731  0.561  0.640
Rb  0.731  0.671  0.092
Rb  0.769  0.408  0.829
Rb  0.769  0.860  0.939
Rb  0.829  0.561  0.421
Rb  0.829  0.769  0.408
Rb  0.860  0.421  0.092
Rb  0.860  0.939  0.769
Rb  0.908  0.140  0.579
Rb  0.908  0.269  0.329
Rb  0.921  0.061  0.329
Rb  0.921  0.360  0.592
Rb  0.939  0.671  0.079
Rb  0.939  0.769  0.860
Ag  0.000  0.000  0.000
Ag  0.000  0.000  0.500
Ag  0.000  0.500  0.000
Ag  0.000  0.500  0.500
Ag  0.125  0.750  0.875
Ag  0.125  0.875  0.250
Ag  0.250  0.125  0.875
Ag  0.250  0.625  0.375
Ag  0.375  0.250  0.625
Ag  0.375  0.625  0.750
Ag  0.500  0.000  0.000
Ag  0.500  0.000  0.500
Ag  0.500  0.500  0.000
Ag  0.500  0.500  0.500
Ag  0.625  0.375  0.250
Ag  0.625  0.750  0.375
Ag  0.750  0.375  0.625
Ag  0.750  0.875  0.125
Ag  0.875  0.125  0.750
Ag  0.875  0.250  0.125
As  0.125  0.250  0.375
As  0.125  0.375  0.750
As  0.250  0.375  0.125
As  0.250  0.875  0.625
As  0.375  0.125  0.250
As  0.375  0.750  0.125
As  0.625  0.250  0.875
As  0.625  0.875  0.750
As  0.750  0.125  0.375
As  0.750  0.625  0.875
As  0.875  0.625  0.250
As  0.875  0.750  0.625

ρ = 2.71 g/cm³
Formation energy = 41 meV/atom
E = -38.99 eV/f.u.

17.
Material: Ni8Os
Method: DFT, GGA-PBE
State: optimized geometry

Unit cell a=5.627 b=5.627 c=5.627 alpha=95.76 beta=95.76 gamma=143.05
Element x y z (fractional)
Ni  0.000  0.334  0.334
Ni  0.000  0.666  0.666
Ni  0.334  0.000  0.334
Ni  0.334  0.334  0.667
Ni  0.334  0.666  0.000
Ni  0.666  0.000  0.666
Ni  0.666  0.334  0.000
Ni  0.666  0.666  0.333
Os  0.000  0.000  0.000

ρ = 10.78 g/cm³
Formation energy = 60 meV/atom
E = -56.94 eV/f.u.

18.
Material: Zr2Sc2In
Method: DFT, GGA-PBE
State: optimized geometry

Unit cell a=7.737 b=7.737 c=3.982 alpha=90.00 beta=90.00 gamma=90.00
Element x y z (fractional)
Zr  0.138  0.362  0.000
Zr  0.362  0.862  0.000
Zr  0.638  0.138  0.000
Zr  0.862  0.638  0.000
Sc  0.159  0.659  0.500
Sc  0.341  0.159  0.500
Sc  0.659  0.841  0.500
Sc  0.841  0.341  0.500
In  0.000  0.000  0.000
In  0.500  0.500  0.000

ρ = 5.39 g/cm³
Formation energy = 11 meV/atom
E = -32.44 eV/f.u.
Excess energy over the best structure of this formula in the dataset = 0.00 eV per formula unit

19.
Material: TaFeCo2
Method: DFT, GGA-PBE
State: optimized geometry

Unit cell a=4.187 b=4.187 c=4.187 alpha=60.00 beta=60.00 gamma=60.00
Element x y z (fractional)
Ta  0.000  0.000  0.000
Fe  0.500  0.500  0.500
Co  0.250  0.250  0.250
Co  0.750  0.750  0.750

ρ = 11.35 g/cm³
Formation energy = -54 meV/atom
E = -34.74 eV/f.u.
Excess energy over the best structure of this formula in the dataset = 0.48 eV per formula unit

20.
Material: TcSb2RhI
Method: DFT, GGA-PBE
State: optimized geometry

Unit cell a=5.088 b=5.088 c=5.488 alpha=90.00 beta=90.00 gamma=90.00
Element x y z (fractional)
Tc  0.000  0.000  0.000
Sb  0.000  0.500  0.500
Sb  0.500  0.000  0.500
Rh  0.500  0.500  0.500
I  0.500  0.500  0.000

ρ = 6.68 g/cm³
E = -22.55 eV/f.u.
Excess energy over the best structure of this formula in the dataset = 0.00 eV per formula unit
Uncorrected formation energy = 95.8 kJ per mole of atoms